Version A
Material: Mn2Sb2O7
Method: DFT, PBE with a Hubbard U
State: optimized geometry

POSCAR file:
```
Mn2Sb2O7
1.0
3.821 0.000 -0.580
0.000 5.495 0.000
0.076 0.000 13.388
O Sb Mn
14 4 4
Cartesian
1.439 0.109 9.489 O
3.090 4.133 7.483 O
0.808 1.386 5.326 O
0.336 1.870 2.217 O
1.839 2.969 12.122 O
2.059 0.222 0.687 O
3.437 1.887 9.775 O
3.561 4.618 10.592 O
2.458 2.856 3.320 O
3.045 1.394 7.190 O
0.070 3.779 0.464 O
0.852 4.142 5.619 O
3.827 1.031 12.345 O
0.460 4.635 3.034 O
3.274 0.150 8.697 Sb
0.210 0.082 1.384 Sb
3.687 2.830 11.425 Sb
0.624 2.898 4.112 Sb
2.128 2.787 1.144 Mn
1.101 2.763 7.260 Mn
1.769 0.040 11.665 Mn
2.796 0.016 5.549 Mn
```



Version B
Material: Mn2Sb2O7
Method: DFT, PBE with a Hubbard U
State: optimized geometry

POSCAR file:
```
Mn2Sb2O7
1.0
-3.110 -6.372 -1.629
7.197 0.816 -0.685
1.064 -5.771 4.300
O Sb Mn
14 4 4
Cartesian
3.850 -2.093 -0.685 O
6.838 -6.161 2.925 O
0.766 -6.637 0.134 O
2.565 -6.646 3.332 O
6.206 -2.734 0.372 O
2.586 -4.682 -1.346 O
1.302 -9.234 2.671 O
1.933 -3.219 0.779 O
-1.687 -5.166 -0.939 O
3.218 -8.109 1.207 O
0.791 -4.809 2.581 O
4.360 -6.518 -0.595 O
-1.055 -8.593 1.614 O
4.386 -4.690 1.852 O
0.000 0.000 0.000 Sb
0.532 -2.886 2.150 Sb
2.044 -2.778 -1.157 Sb
-1.555 -3.186 -0.814 Sb
-1.023 -6.072 1.336 Mn
2.576 -5.664 0.993 Mn
4.130 -2.477 1.807 Mn
3.598 0.408 -0.343 Mn
```



Question: which arrangement is favored energetically? Ranking from most to least stable: version B, version A.



Version A
Material: Mn2SbO
Method: DFT, PBE with a Hubbard U
State: optimized geometry

POSCAR file:
```
Mn2SbO
1.0
6.338 0.000 0.000
0.000 6.338 0.000
3.169 3.169 3.876
O Mn Sb
2 4 2
Cartesian
3.169 3.169 0.000 O
3.169 6.338 1.938 O
4.753 5.409 2.907 Mn
2.241 4.753 0.969 Mn
4.097 1.584 0.969 Mn
7.922 7.266 2.907 Mn
0.000 0.000 0.000 Sb
6.338 3.169 1.938 Sb
```



Version B
Material: Mn2SbO
Method: DFT, PBE with a Hubbard U
State: optimized geometry

POSCAR file:
```
Mn2SbO
1.0
0.000 3.294 3.294
3.294 0.000 3.294
3.294 3.294 0.000
Mn Sb O
2 1 1
Cartesian
1.647 1.647 1.647 Mn
4.941 4.941 4.941 Mn
3.294 3.294 3.294 Sb
0.000 0.000 0.000 O
```



Question: which arrangement is favored energetically? Ranking from most to least stable: version A, version B.